P | This record from the Alexandria database describes CrNiSb2I after structural relaxation. The functional is PBE.

Unit cell a=5.0086 b=5.0086 c=5.5137 alpha=90.00 beta=90.00 gamma=90.00
With the nearest neighbours (Å) after each atom.
Space group P4/mmm (No. 123)
Inequivalent atoms, fractional coordinates:
1 Cr 0.0000 0.0000 0.0000 [1 per cell]  4 Sb 2.50, 2 I 2.76
2 Ni 0.5000 0.5000 0.5000 [1 per cell]  4 I 3.54, 8 Sb 3.72
3 Sb 0.0000 0.5000 0.0000 [2 per cell]  2 Cr 2.50
4 I 0.0000 0.0000 0.5000 [1 per cell]  2 Cr 2.76

---

Q | This record from the Alexandria database describes CrNiSb2I after structural relaxation. The functional is PBE.

Unit cell a=4.9175 b=4.9175 c=5.2422 alpha=90.00 beta=90.00 gamma=90.00
With the nearest neighbours (Å) after each atom.
Space group P4/mmm (No. 123)
Inequivalent atoms, fractional coordinates:
1 Cr 0.0000 0.0000 0.0000 [1 per cell]  4 I 3.48, 8 Sb 3.59
2 Ni 0.5000 0.5000 0.5000 [1 per cell]  4 Sb 2.46, 2 I 2.62
3 Sb 0.0000 0.5000 0.5000 [2 per cell]  2 Ni 2.46
4 I 0.5000 0.5000 0.0000 [1 per cell]  2 Ni 2.62

---

Energy comparison, zero being the most stable, in meV/atom: P 0; Q 200.